Entry 1:
NaNiHg2S: optimized geometry, PBE.

a b c (Å): 4.905 4.905 5.338
angles (deg): 90.00 90.00 90.00
Atoms (fractional coordinates):
Na 0.000 0.000 0.000
Ni 0.000 0.000 0.500
Hg 0.000 0.500 0.500
Hg 0.500 0.000 0.500
S 0.500 0.500 0.000

Values from the calculation:
**E_form (uncorrected)**: 0.32 eV/atom
**Raw total energy**: -2.042 eV per atom
**Calculated volume**: 25.69 A^3/atom


Entry 2:
NaNiHg2Sb: optimized geometry, PBE.

a b c (Å): 5.098 5.098 4.922
angles (deg): 90.00 90.00 90.00
Atoms (fractional coordinates):
Na 0.000 0.000 0.000
Ni 0.500 0.500 0.500
Hg 0.000 0.500 0.500
Hg 0.500 0.000 0.500
Sb 0.500 0.500 0.000

Values from the calculation:
**E_form (uncorrected)**: -0.05 eV/atom
**Raw total energy**: -2.414 eV per atom
**Calculated volume**: 25.59 A^3/atom


Entry 3:
NaSr2NiHg: optimized geometry, PBE.

a b c (Å): 5.765 5.765 5.100
angles (deg): 90.00 90.00 90.00
Atoms (fractional coordinates):
Na 0.000 0.000 0.000
Sr 0.000 0.500 0.500
Sr 0.500 0.000 0.500
Ni 0.500 0.500 0.500
Hg 0.500 0.500 0.000

Values from the calculation:
**Raw total energy**: -2.253 eV per atom
**Calculated volume**: 33.89 A^3/atom


Entry 4:
NaTl2NiHg: optimized geometry, PBE.

a b c (Å): 5.092 5.092 5.172
angles (deg): 90.00 90.00 90.00
Atoms (fractional coordinates):
Na 0.000 0.000 0.000
Tl 0.000 0.500 0.500
Tl 0.500 0.000 0.500
Ni 0.500 0.500 0.500
Hg 0.500 0.500 0.000

Values from the calculation:
**Offset from the most stable computed form**: 0 meV/atom
**Raw total energy**: -2.411 eV per atom
**Calculated volume**: 26.82 A^3/atom


Entry 5:
NaTl2NiHg: optimized geometry, PBE.

a b c (Å): 5.048 5.048 5.515
angles (deg): 90.00 90.00 90.00
Atoms (fractional coordinates):
Na 0.000 0.000 0.000
Tl 0.000 0.500 0.500
Tl 0.500 0.000 0.500
Ni 0.000 0.000 0.500
Hg 0.500 0.500 0.000

Values from the calculation:
**Offset from the most stable computed form**: 56 meV/atom
**Raw total energy**: -2.355 eV per atom
**Calculated volume**: 28.11 A^3/atom


Entry 6:
Na2NiHgW: optimized geometry, PBE.

a b c (Å): 4.637 4.637 4.971
angles (deg): 90.00 90.00 90.00
Atoms (fractional coordinates):
Na 0.000 0.500 0.000
Na 0.500 0.000 0.000
Ni 0.000 0.000 0.000
Hg 0.000 0.000 0.500
W 0.500 0.500 0.500

Values from the calculation:
**Raw total energy**: -2.657 eV per atom
**Calculated volume**: 21.38 A^3/atom